# Sm2GeSb4 GGA-PBE relaxed
# **Energy relative to the elements, uncorrected**: -592 meV/atom
data_Sm2GeSb4
_cell_length_a 4.319
_cell_length_b 4.319
_cell_length_c 10.959
_cell_angle_alpha 90.00
_cell_angle_beta 90.00
_cell_angle_gamma 90.00
_space_group_name_H-M_alt 'P -4 m 2'
_space_group_IT_number 115
loop_
_space_group_symop_operation_xyz
'x,y,z'
'y,-x,-z'
'-x,-y,z'
'-y,x,-z'
'-x,y,z'
'-y,-x,-z'
'x,-y,z'
'y,x,-z'
loop_
_atom_site_label
_atom_site_type_symbol
_atom_site_fract_x
_atom_site_fract_y
_atom_site_fract_z
Sm1 Sm 0.000 0.500 0.225
Ge1 Ge 0.000 0.000 0.500
Sb1 Sb 0.000 0.000 0.000
Sb2 Sb 0.000 0.500 0.674
Sb3 Sb 0.500 0.500 0.000